(1)
The following is a PBE calculation of BaCdMo2 after structural relaxation, from the Alexandria database.

Cell lengths 5.219, 3.291, 6.522 Å; angles 80.71, 90.00, 90.00 degrees
Fractional positions:
Ba: 0.500 0.250 0.250
Cd: 0.500 0.750 0.750
Mo: 0.000 0.959 0.883
Mo: 0.000 0.541 0.617

Output
E_form   0.7752 eV per atom
Space-group type   P2/m, No. 10
Density of states at the Fermi level   4.25 states/eV per cell
Raw total energy   -0.19660 hartree per atom

=====

(2)
The following is a PBE calculation of BaCdMo2 after structural relaxation, from the Alexandria database.

Cell lengths 2.896, 2.896, 10.309 Å; angles 90.00, 90.00, 90.05 degrees
Fractional positions:
Ba: 0.500 0.500 0.250
Cd: 0.500 0.500 0.750
Mo: 0.000 0.000 0.965
Mo: 0.000 0.000 0.535

Output
E_form   1.0506 eV per atom
Space-group type   P4/mmm, No. 123
Density of states at the Fermi level   1.87 states/eV per cell
Raw total energy   -0.18648 hartree per atom